This record from Alexandria describes a geometry-optimized LiCrIr2 structure. The functional is PBEsol.

The space group is R-3m (No. 166, hexagonal axes) and the conventional cell measures 2.6610, 2.6610 and 25.8014 Å, with angles of 90.00, 90.00 and 120.00 degrees. The distinct sites, in fractional coordinates, are Li at (0.0000, 0.0000, 0.0000), Cr at (0.0000, 0.0000, 0.5000) and Ir at (0.0000, 0.0000, 0.2455).

The volume is 13.185 Å³/atom. The value obtained for the formation energy from the elements is -0.13 eV/atom.

---

This record from Alexandria describes a geometry-optimized TaIr4 structure. The functional is PBEsol.

The space group is Im-3m (No. 229) and the conventional cell measures 5.696, 5.696 and 5.696 Å, with angles of 90.00, 90.00 and 90.00 degrees. The distinct sites, in fractional coordinates, are Ta at (0.000, 0.000, 0.000) and Ir at (0.250, 0.250, 0.250).

The volume is 18.484 Å³/atom. Its energy above the most stable polymorph in this dataset is 1469 meV/atom. The value obtained for the formation energy from the elements is 1.08 eV/atom.

---

This record from Alexandria describes a geometry-optimized Zn2WSe structure. The functional is PBEsol.

The space group is R-3m (No. 166, hexagonal axes) and the conventional cell measures 2.9667, 2.9667 and 25.0491 Å, with angles of 90.00, 90.00 and 120.00 degrees. The distinct sites, in fractional coordinates, are Zn at (0.0000, 0.0000, 0.2499), W at (0.0000, 0.0000, 0.0000) and Se at (0.0000, 0.0000, 0.5000).

The volume is 15.911 Å³/atom. The energy relative to the elements, uncorrected comes out at 0.3530 eV/atom.